VBiO4: optimized geometry, GGA+U.

Cell: 6.1249 11.2591 6.1054 Å, 90.00 112.91 90.00°
Closest atoms and distances in Å follow each position.
Space group C2/c (No. 15)
Inequivalent atoms, fractional coordinates:
1 V 0.0000 0.1079 0.2500 (multiplicity 4)  4 O 1.69-1.81
2 Bi 0.0000 0.3967 0.2500 (multiplicity 4)  4 O 2.28-2.41
3 O 0.0244 0.1994 0.4788 (multiplicity 8)  1 V 1.69
4 O 0.2277 0.4766 0.6378 (multiplicity 8)  1 V 1.81

Theoretical density   5.5 g cm⁻³
DOS(E_F)   0.00 states/eV per cell
Electronic total energy   -6.8075 eV/atom